# 1
The following is a GGA-PBE calculation of a relaxed Mg2Ta crystal, from Alexandria via LeMat-Bulk.

Lattice parameters (Å, degrees): 8.246 8.246 5.186 90.00 90.00 160.38
Atoms (fractional coordinates):
Ta  0.107  0.893  0.750
Mg  0.443  0.557  0.750
Ta  0.893  0.107  0.250
Mg  0.557  0.443  0.250
Mg  0.777  0.223  0.750
Mg  0.223  0.777  0.250

## Properties
* E above lowest polymorph: 242 meV/atom
* total magnetic moment: 0.00 μB/cell
* calculated volume: 118.37 Å³/cell
* ΔH_f (0 K): 0.44 eV per atom


# 2
The following is a GGA-PBE calculation of a relaxed MgTa crystal, from Alexandria via LeMat-Bulk.

Lattice parameters (Å, degrees): 10.443 10.443 10.443 16.32 16.32 16.32
Atoms (fractional coordinates):
Mg  0.998  0.998  0.998
Mg  0.752  0.752  0.752
Ta  0.249  0.249  0.249
Ta  0.501  0.501  0.501

## Properties
* total magnetic moment: 0.00 μB/cell
* calculated volume: 78.38 Å³/cell
* ΔH_f (0 K): 0.26 eV per atom


# 3
The following is a GGA-PBE calculation of a relaxed MgTa crystal, from Alexandria via LeMat-Bulk.

Lattice parameters (Å, degrees): 10.443 4.866 6.077 90.00 90.00 90.00
Atoms (fractional coordinates):
Mg  0.083  0.250  0.967
Ta  0.163  0.750  0.699
Mg  0.417  0.750  0.467
Ta  0.077  0.250  0.464
Mg  0.917  0.750  0.033
Ta  0.837  0.250  0.301
Ta  0.577  0.250  0.036
Mg  0.828  0.250  0.782
Ta  0.663  0.750  0.801
Mg  0.672  0.750  0.282
Mg  0.172  0.750  0.218
Ta  0.337  0.250  0.199
Mg  0.583  0.250  0.533
Ta  0.423  0.750  0.964
Ta  0.923  0.750  0.536
Mg  0.328  0.250  0.718

## Properties
* total magnetic moment: 0.00 μB/cell
* calculated volume: 308.80 Å³/cell
* ΔH_f (0 K): 0.33 eV per atom


# 4
The following is a GGA-PBE calculation of a relaxed Mg5Ta4 crystal, from Alexandria via LeMat-Bulk.

Lattice parameters (Å, degrees): 7.403 7.403 7.403 93.13 93.13 152.96
Atoms (fractional coordinates):
Mg  0.670  0.670  0.339
Ta  0.349  0.000  0.349
Mg  0.000  0.000  0.000
Mg  0.670  0.330  0.000
Mg  0.330  0.670  0.000
Ta  0.000  0.349  0.349
Ta  0.651  0.000  0.651
Ta  0.000  0.651  0.651
Mg  0.330  0.330  0.661

## Properties
* E above lowest polymorph: 0 meV/atom
* total magnetic moment: 0.00 μB/cell
* calculated volume: 179.36 Å³/cell
* ΔH_f (0 K): 0.16 eV per atom


# 5
The following is a GGA-PBE calculation of a relaxed MgTa crystal, from Alexandria via LeMat-Bulk.

Lattice parameters (Å, degrees): 5.435 5.435 5.435 31.34 31.34 31.34
Atoms (fractional coordinates):
Ta  0.500  0.500  0.500
Mg  0.000  0.000  0.000

## Properties
* total magnetic moment: 0.00 μB/cell
* calculated volume: 38.54 Å³/cell
* ΔH_f (0 K): 0.35 eV per atom


# 6
The following is a GGA-PBE calculation of a relaxed Mg2Ta crystal, from Alexandria via LeMat-Bulk.

Lattice parameters (Å, degrees): 6.841 6.841 4.699 90.00 90.00 120.00
Atoms (fractional coordinates):
Mg  0.770  0.770  0.000
Ta  0.000  0.000  0.500
Ta  0.667  0.333  0.000
Mg  0.000  0.230  0.000
Mg  0.000  0.535  0.500
Ta  0.333  0.667  0.000
Mg  0.535  0.000  0.500
Mg  0.465  0.465  0.500
Mg  0.230  0.000  0.000

## Properties
* E above lowest polymorph: 771 meV/atom
* total magnetic moment: 0.00 μB/cell
* calculated volume: 190.44 Å³/cell
* ΔH_f (0 K): 0.97 eV per atom